(1)
Compound: Zr2Co2Pt
Source: Alexandria
Functional: PBE-GGA
Structure: relaxed

Cell lengths 4.808, 4.808, 7.444 Å; angles 90.00, 90.00, 90.00 degrees
Space group I4/mmm (No. 139)
One atom of each set of equivalent atoms:
Zr: 0.000 0.500 0.250 (multiplicity 4)
Co: 0.000 0.000 0.146 (multiplicity 4)
Pt: 0.000 0.000 0.500 (multiplicity 2)

- E above lowest polymorph: 34.72 kJ per mole of atoms
- ΔH_f (0 K): -100 kJ/mol of formula units
- Raw total energy: -7.677 eV per atom

***

(2)
Compound: SrZnRu2
Source: Alexandria
Functional: PBE-GGA
Structure: relaxed

Cell lengths 4.596, 4.596, 18.165 Å; angles 90.00, 90.00, 90.00 degrees
Space group I-42d (No. 122)
One atom of each set of equivalent atoms:
Sr: 0.000 0.000 0.000 (multiplicity 4)
Zn: 0.000 0.000 0.500 (multiplicity 4)
Ru: 0.053 0.750 0.625 (multiplicity 8)

- ΔH_f (0 K): 188 kJ/mol of formula units
- Raw total energy: -4.890 eV per atom

***

(3)
Compound: YTcNi
Source: Alexandria
Functional: PBE-GGA
Structure: relaxed

Cell lengths 3.252, 3.252, 10.136 Å; angles 90.00, 90.00, 90.00 degrees
Space group I4mm (No. 107)
One atom of each set of equivalent atoms:
Y: 0.000 0.000 0.000 (multiplicity 2)
Tc: 0.000 0.000 0.300 (multiplicity 2)
Ni: 0.000 0.000 0.701 (multiplicity 2)

- E above lowest polymorph: 21.18 kJ per mole of atoms
- ΔH_f (0 K): 35 kJ/mol of formula units
- Raw total energy: -7.417 eV per atom

***

(4)
Compound: DyPuSeO2
Source: Alexandria
Functional: PBE-GGA
Structure: relaxed

Cell lengths 3.841, 3.841, 12.254 Å; angles 90.00, 90.00, 90.00 degrees
Space group I4mm (No. 107)
One atom of each set of equivalent atoms:
Dy: 0.000 0.000 0.000 (multiplicity 2)
Pu: 0.000 0.000 0.303 (multiplicity 2)
Se: 0.000 0.000 0.655 (multiplicity 2)
O: 0.000 0.500 0.408 (multiplicity 4)

- Formation energy from raw total energies: -2.78 eV/atom
- Raw total energy: -9.248 eV per atom

***

(5)
Compound: KEu2
Source: Alexandria
Functional: PBE-GGA
Structure: relaxed

Cell lengths 10.915, 10.915, 10.915 Å; angles 90.00, 90.00, 90.00 degrees
Space group Fd-3m (No. 227, origin choice 2)
One atom of each set of equivalent atoms:
K: 0.125 0.125 0.125 (multiplicity 8)
Eu: 0.000 0.000 0.500 (multiplicity 16)

- ΔH_f (0 K): 65 kJ/mol of formula units
- Raw total energy: -6.990 eV per atom

***

(6)
Compound: Mg8In5Hg
Source: Alexandria
Functional: PBE-GGA
Structure: relaxed

Cell lengths 8.505, 8.505, 9.444 Å; angles 90.00, 90.00, 90.00 degrees
Space group I-4 (No. 82)
One atom of each set of equivalent atoms:
Mg: 0.075 0.323 0.108 (multiplicity 8)
Mg: 0.077 0.176 0.745 (multiplicity 8)
In: 0.000 0.000 0.000 (multiplicity 2)
In: 0.121 0.224 0.429 (multiplicity 8)
Hg: 0.000 0.500 0.750 (multiplicity 2)

- E above lowest polymorph: 0.84 kJ per mole of atoms
- ΔH_f (0 K): -53 kJ/mol of formula units
- Raw total energy: -1.950 eV per atom

***

Q: raw total energy of number 1 (Zr2Co2Pt)?
A: -7.677 eV per atom

***

What did the third record say?
Compound: YTcNi
Source: Alexandria
Functional: PBE-GGA
Structure: relaxed

Cell lengths 3.252, 3.252, 10.136 Å; angles 90.00, 90.00, 90.00 degrees
Space group I4mm (No. 107)
One atom of each set of equivalent atoms:
Y: 0.000 0.000 0.000 (multiplicity 2)
Tc: 0.000 0.000 0.300 (multiplicity 2)
Ni: 0.000 0.000 0.701 (multiplicity 2)

- E above lowest polymorph: 21.18 kJ per mole of atoms
- ΔH_f (0 K): 35 kJ/mol of formula units
- Raw total energy: -7.417 eV per atom

***

Q: raw total energy of number 2 (SrZnRu2)?
A: -4.890 eV per atom

***

Q: Among the records above, which one has the lowest raw total energy?
A: DyPuSeO2